Entry 1:
Material: KTcRh2
Method: DFT, PBE
State: optimized geometry

a = 6.074 Å, b = 8.187 Å, c = 2.721 Å
α = 90.00°, β = 90.00°, γ = 90.00°
Space group Cmmm (No. 65)
Unique sites:
K 0.000 0.000 0.000 [2 per cell]
Tc 0.000 0.500 0.000 [2 per cell]
Rh 0.250 0.250 0.500 [4 per cell]

**Energy of formation from the pure elements**: 0.90 eV/atom
**VASP energy**: -22.564 eV/f.u.
**Excess energy over the best structure of this formula in the dataset**: 0.567 eV per atom


Entry 2:
Material: Ba3CuSb2O8
Method: DFT, PBE
State: optimized geometry

a = 6.0006 Å, b = 6.0006 Å, c = 7.8377 Å
α = 90.00°, β = 90.00°, γ = 120.00°
Space group P-3m1 (No. 164)
Unique sites:
Ba 0.0000 0.0000 0.0000 [1 per cell]
Ba 0.3333 0.6667 0.6363 [2 per cell]
Cu 0.0000 0.0000 0.5000 [1 per cell]
Sb 0.3333 0.6667 0.2041 [2 per cell]
O 0.1632 0.3264 0.3176 [6 per cell]
O 0.3333 0.6667 0.9549 [2 per cell]

**VASP energy**: -82.516 eV/f.u.
**Formation energy (no corrections)**: -1767.3 meV per atom


Entry 3:
Material: Ce2PuZn2Sn2
Method: DFT, PBE
State: optimized geometry

a = 4.9202 Å, b = 4.9202 Å, c = 25.0075 Å
α = 90.00°, β = 90.00°, γ = 120.00°
Space group R-3m (No. 166, hexagonal axes)
Unique sites:
Ce 0.0000 0.0000 0.1260 [6 per cell]
Pu 0.0000 0.0000 0.0000 [3 per cell]
Zn 0.0000 0.0000 0.3963 [6 per cell]
Sn 0.0000 0.0000 0.2675 [6 per cell]

**Energy of formation from the pure elements**: -0.22 eV/atom
**VASP energy**: -38.328 eV/f.u.


Entry 4:
Material: CrGa2Re2
Method: DFT, PBE
State: optimized geometry

a = 6.683 Å, b = 6.683 Å, c = 3.245 Å
α = 90.00°, β = 90.00°, γ = 90.00°
Space group P4/mbm (No. 127)
Unique sites:
Cr 0.000 0.000 0.000 [2 per cell]
Ga 0.140 0.360 0.000 [4 per cell]
Re 0.160 0.660 0.500 [4 per cell]

**Energy of formation from the pure elements**: 0.45 eV/atom
**VASP energy**: -38.321 eV/f.u.


Entry 5:
Material: Ta2NiOs
Method: DFT, PBE
State: optimized geometry

a = 3.023 Å, b = 4.271 Å, c = 5.135 Å
α = 90.00°, β = 107.02°, γ = 90.00°
Space group Pm (No. 6)
Unique sites:
Ta 0.000 0.000 0.000 [1 per cell]
Ta 0.293 0.500 0.588 [1 per cell]
Ni 0.559 0.500 0.118 [1 per cell]
Os 0.735 0.000 0.472 [1 per cell]

**Energy of formation from the pure elements**: -0.23 eV/atom
**VASP energy**: -41.646 eV/f.u.
**Excess energy over the best structure of this formula in the dataset**: 0.018 eV per atom


Entry 6:
Material: NpAu11
Method: DFT, PBE
State: optimized geometry

a = 11.303 Å, b = 11.303 Å, c = 7.547 Å
α = 90.00°, β = 90.00°, γ = 90.00°
Space group I4_1/amd (No. 141, origin choice 2)
Unique sites:
Np 0.000 0.250 0.375 [4 per cell]
Au 0.000 0.000 0.000 [8 per cell]
Au 0.000 0.250 0.875 [4 per cell]
Au 0.120 0.045 0.673 [32 per cell]

**Energy of formation from the pure elements**: 0.02 eV/atom
**VASP energy**: -48.761 eV/f.u.


Entry 7:
Material: CsAgSe2
Method: DFT, PBE
State: optimized geometry

a = 7.193 Å, b = 7.193 Å, c = 11.955 Å
α = 90.00°, β = 106.73°, γ = 90.00°
Space group Cc (No. 9)
Unique sites:
Cs 0.000 0.125 0.000 [4 per cell]
Ag 0.109 0.375 0.718 [4 per cell]
Se 0.381 0.125 0.765 [4 per cell]
Se 0.489 0.125 0.979 [4 per cell]

**VASP energy**: -12.334 eV/f.u.
**Formation energy (no corrections)**: -415.1 meV per atom


Entry 8:
Material: Sn6HgPd12
Method: DFT, PBE
State: optimized geometry

a = 12.1241 Å, b = 12.1241 Å, c = 8.2480 Å
α = 90.00°, β = 90.00°, γ = 120.00°
Space group R-3 (No. 148, hexagonal axes)
Unique sites:
Sn 0.0466 0.2137 0.2363 [18 per cell]
Hg 0.0000 0.0000 0.5000 [3 per cell]
Pd 0.0344 0.2396 0.5681 [18 per cell]
Pd 0.0609 0.2365 0.9158 [18 per cell]

**Energy of formation from the pure elements**: -0.40 eV/atom
**VASP energy**: -94.209 eV/f.u.


Entry 9:
Material: NaAsPt2O
Method: DFT, PBE
State: optimized geometry

a = 4.769 Å, b = 4.769 Å, c = 3.825 Å
α = 90.00°, β = 90.00°, γ = 90.00°
Space group P4/mmm (No. 123)
Unique sites:
Na 0.000 0.000 0.000 [1 per cell]
As 0.500 0.500 0.500 [1 per cell]
Pt 0.000 0.500 0.000 [2 per cell]
O 0.000 0.000 0.500 [1 per cell]

**VASP energy**: -17.570 eV/f.u.
**Formation energy (no corrections)**: 1087.7 meV per atom


Entry 10:
Material: YRu4Rh
Method: DFT, PBE
State: optimized geometry

a = 7.345 Å, b = 7.345 Å, c = 7.345 Å
α = 90.00°, β = 90.00°, γ = 90.00°
Space group F-43m (No. 216)
Unique sites:
Y 0.000 0.000 0.000 [4 per cell]
Ru 0.124 0.124 0.624 [16 per cell]
Rh 0.250 0.250 0.250 [4 per cell]

**Energy of formation from the pure elements**: 0.14 eV/atom
**VASP energy**: -50.057 eV/f.u.


Entry 11:
Material: MgRh
Method: DFT, PBE
State: optimized geometry

a = 3.121 Å, b = 3.121 Å, c = 3.121 Å
α = 90.00°, β = 90.00°, γ = 90.00°
Space group Pm-3m (No. 221)
Unique sites:
Mg 0.000 0.000 0.000 [1 per cell]
Rh 0.500 0.500 0.500 [1 per cell]

**Energy of formation from the pure elements**: -0.47 eV/atom
**VASP energy**: -9.888 eV/f.u.


Entry 12:
Material: V4Fe2C
Method: DFT, PBE
State: optimized geometry

a = 3.848 Å, b = 3.848 Å, c = 11.798 Å
α = 90.00°, β = 90.00°, γ = 90.00°
Space group I4/mmm (No. 139)
Unique sites:
V 0.000 0.000 0.181 [4 per cell]
V 0.000 0.500 0.000 [4 per cell]
Fe 0.000 0.000 0.357 [4 per cell]
C 0.000 0.000 0.000 [2 per cell]

**Energy of formation from the pure elements**: 0.15 eV/atom
**VASP energy**: -61.559 eV/f.u.


Entry 13:
Material: Pm12Nd5Er2
Method: DFT, PBE
State: optimized geometry

a = 18.780 Å, b = 7.223 Å, c = 10.492 Å
α = 90.00°, β = 111.75°, γ = 90.00°
Space group C2/m (No. 12)
Unique sites:
Pm 0.002 0.000 0.320 [4 per cell]
Pm 0.022 0.500 0.240 [4 per cell]
Pm 0.160 0.252 0.866 [8 per cell]
Pm 0.166 0.249 0.520 [8 per cell]
Nd 0.000 0.500 0.500 [2 per cell]
Nd 0.175 0.000 0.208 [4 per cell]
Nd 0.184 0.500 0.184 [4 per cell]
Er 0.000 0.220 0.000 [4 per cell]

**Energy of formation from the pure elements**: 0.17 eV/atom
**VASP energy**: -86.764 eV/f.u.
**Excess energy over the best structure of this formula in the dataset**: 0.072 eV per atom


Entry 14:
Material: Sr4La2Sb3O2
Method: DFT, PBE
State: optimized geometry

a = 4.973 Å, b = 4.973 Å, c = 26.553 Å
α = 90.00°, β = 90.00°, γ = 90.00°
Space group I4/mmm (No. 139)
Unique sites:
Sr 0.000 0.500 0.084 [8 per cell]
La 0.000 0.000 0.194 [4 per cell]
Sb 0.000 0.000 0.321 [4 per cell]
Sb 0.000 0.000 0.500 [2 per cell]
O 0.000 0.000 0.108 [4 per cell]

**VASP energy**: -57.818 eV/f.u.
**Formation energy (no corrections)**: -1723.0 meV per atom


Entry 15:
Material: AgAu3Se
Method: DFT, PBE
State: optimized geometry

a = 5.064 Å, b = 5.064 Å, c = 5.064 Å
α = 90.00°, β = 90.00°, γ = 90.00°
Space group Pm-3m (No. 221)
Unique sites:
Ag 0.000 0.000 0.000 [1 per cell]
Au 0.000 0.000 0.500 [3 per cell]
Se 0.500 0.500 0.500 [1 per cell]

**VASP energy**: -11.479 eV/f.u.
**Excess energy over the best structure of this formula in the dataset**: 0.351 eV per atom
**Formation energy (no corrections)**: 937.7 meV per atom


Entry 16:
Material: DyHo2Bi
Method: DFT, PBE
State: optimized geometry

a = 4.095 Å, b = 4.095 Å, c = 7.063 Å
α = 90.00°, β = 90.00°, γ = 90.00°
Space group P4/mmm (No. 123)
Unique sites:
Dy 0.000 0.000 0.000 [1 per cell]
Ho 0.500 0.500 0.264 [2 per cell]
Bi 0.000 0.000 0.500 [1 per cell]

**Energy of formation from the pure elements**: -0.33 eV/atom
**VASP energy**: -18.964 eV/f.u.
**Excess energy over the best structure of this formula in the dataset**: 0.081 eV per atom


Entry 17:
Material: ErPu2NbN4
Method: DFT, PBE
State: optimized geometry

a = 5.822 Å, b = 3.365 Å, c = 5.823 Å
α = 90.00°, β = 109.55°, γ = 90.00°
Space group P2/m (No. 10)
Unique sites:
Er 0.000 0.000 0.000 [1 per cell]
Pu 0.500 0.000 0.500 [1 per cell]
Pu 0.500 0.500 0.000 [1 per cell]
Nb 0.000 0.500 0.500 [1 per cell]
N 0.233 0.000 0.734 [2 per cell]
N 0.238 0.500 0.263 [2 per cell]

**VASP energy**: -87.260 eV/f.u.
**Formation energy (no corrections)**: -1332.7 meV per atom


Entry 18:
Material: KTmPb2
Method: DFT, PBE
State: optimized geometry

a = 3.7477 Å, b = 3.7477 Å, c = 32.3834 Å
α = 90.00°, β = 90.00°, γ = 120.00°
Space group R-3m (No. 166, hexagonal axes)
Unique sites:
K 0.0000 0.0000 0.0000 [3 per cell]
Tm 0.0000 0.0000 0.5000 [3 per cell]
Pb 0.0000 0.0000 0.2431 [6 per cell]

**Energy of formation from the pure elements**: -0.19 eV/atom
**VASP energy**: -13.749 eV/f.u.
**Excess energy over the best structure of this formula in the dataset**: 0.096 eV per atom


Entry 19:
Material: TcSbSe2
Method: DFT, PBE
State: optimized geometry

a = 3.346 Å, b = 4.544 Å, c = 5.300 Å
α = 90.00°, β = 90.00°, γ = 90.00°
Space group Pmmm (No. 47)
Unique sites:
Tc 0.000 0.000 0.000 [1 per cell]
Sb 0.500 0.000 0.500 [1 per cell]
Se 0.000 0.500 0.500 [1 per cell]
Se 0.500 0.500 0.000 [1 per cell]

**VASP energy**: -19.010 eV/f.u.
**Formation energy (no corrections)**: 612.0 meV per atom


Entry 20:
Material: BaSrZr4O12
Method: DFT, PBE
State: optimized geometry

a = 8.378 Å, b = 8.415 Å, c = 8.416 Å
α = 90.00°, β = 90.00°, γ = 90.00°
Space group Amm2 (No. 38)
Unique sites:
Ba 0.000 0.000 0.000 [2 per cell]
Sr 0.500 0.000 0.531 [2 per cell]
Zr 0.253 0.244 0.264 [8 per cell]
O 0.000 0.240 0.260 [4 per cell]
O 0.243 0.000 0.753 [4 per cell]
O 0.248 0.235 0.014 [8 per cell]
O 0.285 0.000 0.290 [4 per cell]
O 0.500 0.219 0.749 [4 per cell]

**VASP energy**: -144.568 eV/f.u.
**Formation energy (no corrections)**: -2626.2 meV per atom


Entry 21:
Material: KSe3O
Method: DFT, PBE
State: optimized geometry

a = 4.691 Å, b = 4.691 Å, c = 4.691 Å
α = 90.00°, β = 90.00°, γ = 90.00°
Space group Pm-3m (No. 221)
Unique sites:
K 0.000 0.000 0.000 [1 per cell]
Se 0.000 0.500 0.500 [3 per cell]
O 0.500 0.500 0.500 [1 per cell]

**VASP energy**: -16.408 eV/f.u.
**Excess energy over the best structure of this formula in the dataset**: 0.000 eV per atom
**Formation energy (no corrections)**: 20.3 meV per atom


Entry 22:
Material: LiBi2Pd6
Method: DFT, PBE
State: optimized geometry

a = 8.462 Å, b = 8.462 Å, c = 4.333 Å
α = 90.00°, β = 90.00°, γ = 90.00°
Space group P4_2/mnm (No. 136)
Unique sites:
Li 0.000 0.000 0.000 [2 per cell]
Bi 0.194 0.194 0.500 [4 per cell]
Pd 0.023 0.333 0.000 [8 per cell]
Pd 0.134 0.866 0.500 [4 per cell]

**Energy of formation from the pure elements**: -0.33 eV/atom
**VASP energy**: -43.805 eV/f.u.
**Excess energy over the best structure of this formula in the dataset**: 0.000 eV per atom